Record 1
Density functional theory data (PBE-GGA) for an optimized crystal structure of TcBi.

Computed properties:
Total energy (eV for the cell shown): -26.9
Energy above the lowest structure with this stoichiometry (eV per formula unit): 0.21

abc: 4.4459 4.4459 5.1362
angles: 90.00 90.00 120.00
Closest atoms and distances in Å follow each position.
Space group P6_3/mmc (No. 194)
Unique sites:
Tc 0.0000 0.0000 0.0000  2 Tc 2.57, 6 Bi 2.87
Bi 0.3333 0.6667 0.2500  6 Tc 2.87

---

Record 2
Density functional theory data (PBE-GGA) for an optimized crystal structure of TcBi.

Computed properties:
Total energy (eV for the cell shown): -46.7
Energy above the lowest structure with this stoichiometry (eV per formula unit): 2.01

abc: 6.1473 6.1473 6.1473
angles: 90.00 90.00 90.00
Closest atoms and distances in Å follow each position.
Space group F-43m (No. 216)
Unique sites:
Tc 0.0000 0.0000 0.0000  4 Bi 2.66
Bi 0.2500 0.2500 0.2500  4 Tc 2.66

---

Record 3
Density functional theory data (PBE-GGA) for an optimized crystal structure of TcBi.

Computed properties:
Total energy (eV for the cell shown): -13.0
Energy above the lowest structure with this stoichiometry (eV per formula unit): 0.70

abc: 3.3752 3.3752 4.1069
angles: 90.00 90.00 120.00
Closest atoms and distances in Å follow each position.
Space group P-6m2 (No. 187)
Unique sites:
Tc 0.0000 0.0000 0.0000  6 Bi 2.83
Bi 0.3333 0.6667 0.5000  6 Tc 2.83

---

The highest energy above the lowest structure with this stoichiometry belongs to which entry? number 2

---

Number 1 is which compound? TcBi

---

Please write out number 2 again, unchanged.
Density functional theory data (PBE-GGA) for an optimized crystal structure of TcBi.

Computed properties:
Total energy (eV for the cell shown): -46.7
Energy above the lowest structure with this stoichiometry (eV per formula unit): 2.01

abc: 6.1473 6.1473 6.1473
angles: 90.00 90.00 90.00
Closest atoms and distances in Å follow each position.
Space group F-43m (No. 216)
Unique sites:
Tc 0.0000 0.0000 0.0000  4 Bi 2.66
Bi 0.2500 0.2500 0.2500  4 Tc 2.66

---

What is the formula in the third record? TcBi